The following is a DFT calculation (GGA-PBE) of EuYZnRh after structural relaxation.

energy	-0.249	Ha/atom

a b c (Å): 7.0992 7.0992 7.0992
angles (deg): 90.00 90.00 90.00
Last column: nearest neighbours and their distance in Å.
Space group F-43m (No. 216)
Symmetry-distinct sites (fractional):
Eu 0.0000 0.0000 0.0000  4 Rh 3.07, 4 Zn 3.07
Y 0.0000 0.0000 0.5000  4 Zn 3.07, 4 Rh 3.07
Zn 0.2500 0.2500 0.7500  4 Eu 3.07, 4 Y 3.07
Rh 0.2500 0.2500 0.2500  4 Y 3.07, 4 Eu 3.07

---

The following is a DFT calculation (GGA-PBE) of KIn6Ge2 after structural relaxation.

energy	-0.109	Ha/atom

a b c (Å): 4.6868 4.6868 11.2663
angles (deg): 90.00 90.00 90.00
Last column: nearest neighbours and their distance in Å.
Space group P4/mmm (No. 123)
Symmetry-distinct sites (fractional):
K 0.0000 0.0000 0.0000  8 Ge 3.56, 8 In 3.87
In 0.0000 0.0000 0.5000  12 In 3.31-3.47
In 0.0000 0.5000 0.2728  2 Ge 2.94
In 0.5000 0.5000 0.5000  12 In 3.31-3.47
Ge 0.5000 0.5000 0.1145  1 Ge 2.58

---

The following is a DFT calculation (GGA-PBE) of Ac2HoHgTe5 after structural relaxation.

formation energy from raw total energies	-10.9	eV per formula unit

a b c (Å): 4.5408 19.5580 13.7480
angles (deg): 90.00 90.00 90.00
Last column: nearest neighbours and their distance in Å.
Space group Cmc2_1 (No. 36)
Symmetry-distinct sites (fractional):
Ac 0.0000 0.1214 0.0000  8 Te 3.39-3.51
Ac 0.0000 0.1248 0.6215  8 Te 3.41-3.52
Ho 0.0000 0.1893 0.3193  6 Te 3.13-3.19, 2 Hg 3.35
Hg 0.0000 0.4339 0.7800  4 Te 2.85-3.15
Te 0.0000 0.0399 0.4016  2 Hg 2.87, 1 Ho 3.13
Te 0.0000 0.2938 0.9739  2 Ho 3.13, 3 Ac 3.39-3.44
Te 0.0000 0.2980 0.6573  1 Hg 3.15, 2 Ho 3.19, 3 Ac 3.42-3.51
Te 0.0000 0.3501 0.3140  1 Ho 3.15, 4 Ac 3.46-3.52
Te 0.0000 0.4960 0.5926  1 Hg 2.85

---

The following is a DFT calculation (GGA-PBE) of VFe2W2 after structural relaxation.

energy	-0.373	Ha/atom

a b c (Å): 6.9520 6.9520 2.8322
angles (deg): 90.00 90.00 90.00
Last column: nearest neighbours and their distance in Å.
Space group P4/mbm (No. 127)
Symmetry-distinct sites (fractional):
V 0.0000 0.0000 0.0000  4 Fe 2.73, 2 V 2.83, 8 W 2.94
Fe 0.1300 0.3700 0.0000  6 W 2.42-2.54, 1 Fe 2.56
W 0.1700 0.6700 0.5000  6 Fe 2.42-2.54

---

The following is a DFT calculation (GGA-PBE) of LiMnSn2 after structural relaxation.

energy	-0.170	Ha/atom

a b c (Å): 6.4857 6.4857 6.4857
angles (deg): 90.00 90.00 90.00
Last column: nearest neighbours and their distance in Å.
Space group Fm-3m (No. 225)
Symmetry-distinct sites (fractional):
Li 0.0000 0.0000 0.0000  8 Sn 2.81
Mn 0.0000 0.0000 0.5000  8 Sn 2.81
Sn 0.2500 0.2500 0.2500  4 Mn 2.81, 4 Li 2.81

---

The following is a DFT calculation (GGA-PBE) of Tl2SiAu after structural relaxation.

formation energy from raw total energies	1.5	eV per formula unit

a b c (Å): 4.6395 4.6831 8.5743
angles (deg): 90.00 90.00 90.00
Last column: nearest neighbours and their distance in Å.
Space group Cmmm (No. 65)
Symmetry-distinct sites (fractional):
Tl 0.0000 0.0000 0.2474  4 Au 3.14-3.16, 4 Si 3.17-3.19, 4 Tl 3.30
Si 0.0000 0.5000 0.5000  8 Tl 3.17-3.19, 4 Si 3.30
Au 0.0000 0.5000 0.0000  8 Tl 3.14-3.16, 4 Au 3.30

---

The following is a DFT calculation (GGA-PBE) of BaPIrPd after structural relaxation.

energy	-0.220	Ha/atom

a b c (Å): 3.9701 3.9701 11.4072
angles (deg): 90.00 90.00 90.00
Last column: nearest neighbours and their distance in Å.
Space group P4/nmm (No. 129, origin choice 2)
Symmetry-distinct sites (fractional):
Ba 0.2500 0.2500 0.2241  4 Pd 3.24, 4 P 3.35
P 0.2500 0.2500 0.6149  4 Ir 2.38
Ir 0.2500 0.7500 0.5000  4 P 2.38
Pd 0.2500 0.7500 0.0000  4 Pd 2.81

---

The following is a DFT calculation (GGA-PBE) of Nd3DyTm2 after structural relaxation.

energy	-0.160	Ha/atom

a b c (Å): 15.0224 9.9764 5.6418
angles (deg): 90.00 90.00 90.00
Last column: nearest neighbours and their distance in Å.
Space group Cmcm (No. 63)
Symmetry-distinct sites (fractional):
Nd 0.0000 0.0874 0.2500  4 Nd 3.32-3.69, 3 Dy 3.38-3.61, 2 Tm 3.52
Nd 0.2437 0.1325 0.2500  2 Tm 3.23-3.40
Dy 0.0000 0.2743 0.7500  3 Nd 3.38-3.61, 6 Tm 3.48-3.59
Tm 0.1053 0.4024 0.2500  3 Tm 3.16-3.43, 3 Nd 3.23-3.52, 2 Dy 3.48